Density functional theory data (GGA-PBE) for a geometry-optimized AcAgAsO structure.

Structure (POSCAR):
```
AcAgAsO
1.0
-0.467 -0.236 -6.448
6.386 -0.940 -0.428
-0.678 -4.712 0.221
As Ag O Ac
2 2 2 2
Cartesian
-0.571 -2.465 -3.114
2.853 -2.834 -0.103
-0.910 -4.821 -3.003
3.192 -0.479 -0.214
2.960 -0.588 -3.438
0.000 0.000 0.000
-0.339 -2.356 0.111
2.621 -2.944 -3.327
```

ΔE to the lowest computed polymorph	608	meV/atom
raw total energy	-5.182	eV per atom
density	7.09	g cm⁻³

=====

Density functional theory data (GGA-PBE) for a geometry-optimized AcAgAsO structure.

Structure (POSCAR):
```
AcAgAsO
1.0
-3.596 -0.481 -4.771
-0.878 -5.796 1.246
-3.854 1.183 2.785
Ag Ac O As
2 2 2 2
Cartesian
-4.919 -0.403 1.866
-3.409 -4.691 -2.605
-3.485 -3.876 1.134
-4.843 -1.218 -1.874
-1.558 -4.467 -0.258
-2.916 -1.809 -3.267
-5.339 -4.099 -1.210
-2.988 -0.995 0.470
```

ΔE to the lowest computed polymorph	721	meV/atom
raw total energy	-5.069	eV per atom
density	8.03	g cm⁻³

=====

Density functional theory data (GGA-PBE) for a geometry-optimized Ac2AgAu3 structure.

Structure (POSCAR):
```
Ac2AgAu3
1.0
0.189 -8.633 -4.381
3.974 -8.374 0.575
-4.451 -3.847 2.085
Ac Au Ag
4 6 2
Cartesian
-0.216 -15.641 -1.291
-0.312 -11.331 0.913
-0.072 -5.214 -0.430
0.024 -9.524 -2.634
-3.001 -6.063 1.093
-1.464 -12.546 -2.065
1.176 -8.309 0.344
2.713 -14.791 -2.814
-2.906 -10.344 -1.079
2.618 -10.511 -0.642
1.291 -12.620 -1.842
-1.580 -8.234 0.121
```

raw total energy	-4.199	eV per atom
density	11.92	g cm⁻³

=====

Density functional theory data (GGA-PBE) for a geometry-optimized AcBeAg structure.

Structure (POSCAR):
```
AcBeAg
1.0
0.000 3.463 3.463
3.463 0.000 3.463
3.463 3.463 0.000
Ag Be Ac
1 1 1
Cartesian
5.194 5.194 5.194
3.463 3.463 3.463
0.000 0.000 0.000
```

ΔE to the lowest computed polymorph	116	meV/atom
raw total energy	-3.159	eV per atom
density	6.88	g cm⁻³

=====

Density functional theory data (GGA-PBE) for a geometry-optimized AcBeAg structure.

Structure (POSCAR):
```
AcBeAg
1.0
3.102 -3.365 1.407
-1.445 -4.540 0.475
1.495 -3.325 -3.103
Ac Be Ag
1 1 1
Cartesian
0.788 -2.808 -0.305
0.000 0.000 0.000
2.365 -8.423 -0.916
```

ΔE to the lowest computed polymorph	0	meV/atom
raw total energy	-3.275	eV per atom
density	7.36	g cm⁻³

=====

Density functional theory data (GGA-PBE) for a geometry-optimized AcBeAg structure.

Structure (POSCAR):
```
AcBeAg
1.0
-2.351 -3.732 -2.502
-3.147 -3.118 2.469
-4.996 0.260 -0.831
Ac Be Ag
1 1 1
Cartesian
0.000 0.000 0.000
-7.870 -4.942 -0.648
-2.623 -1.647 -0.216
```

ΔE to the lowest computed polymorph	457	meV/atom
raw total energy	-2.818	eV per atom
density	6.19	g cm⁻³

=====

Density functional theory data (GGA-PBE) for a geometry-optimized AcAgBi structure.

Structure (POSCAR):
```
AcAgBi
1.0
0.000 3.825 3.825
3.825 0.000 3.825
3.825 3.825 0.000
Ac Ag Bi
1 1 1
Cartesian
0.000 0.000 0.000
1.913 1.913 1.913
5.738 5.738 5.738
```

ΔE to the lowest computed polymorph	268	meV/atom
raw total energy	-3.874	eV per atom
density	8.07	g cm⁻³

=====

Density functional theory data (GGA-PBE) for a geometry-optimized AcAgBi structure.

Structure (POSCAR):
```
AcAgBi
1.0
1.100 0.014 5.048
-3.159 -2.358 3.339
1.494 -4.362 2.330
Bi Ac Ag
1 1 1
Cartesian
-0.424 -5.029 8.038
-0.141 -1.676 2.679
0.000 0.000 0.000
```

ΔE to the lowest computed polymorph	0	meV/atom
raw total energy	-4.142	eV per atom
density	9.26	g cm⁻³

=====

- Which value of density does entry 3 give?
  11.92 g cm⁻³

=====

- Number 1 is which compound?
  AcAgAsO

=====

- Which value of raw total energy does entry 8 give?
  -4.142 eV per atom

=====

- Which of these has the lowest raw total energy?
  number 1